The following is a DFT calculation (GGA-PBE) of an optimized crystal structure of IrC2.

Lattice parameters (Å, degrees): 4.355 4.355 4.355 60.00 60.00 60.00
Atoms (fractional coordinates):
Ir  0.125  0.125  0.125
Ir  0.875  0.875  0.875
C  0.000  0.500  0.500
C  0.500  0.000  0.500
C  0.500  0.500  0.000
C  0.500  0.500  0.500

Results
The total magnetic moment comes out at 0.00 μB/cell. The final energy is -35.73 eV per cell. The calculation puts the energy relative to the lowest polymorph listed for this composition at 2.117 eV/atom.